No. 1
VASP calculation (PBE-GGA) on crystalline CePrRh2 at its relaxed geometry.

**Calculated volume**: 87.6 Å³ per cell
**Calculated formation energy**: -0.66 eV/atom
**Total moment**: 0.00 μB/f.u.

Cell lengths 3.4997, 3.4997, 7.1533 Å; angles 90.00, 90.00, 90.00 degrees
With the nearest neighbours (Å) after each atom.
Fractional positions:
Rh: 0.0000 0.0000 0.7820  4 Ce 2.92, 1 Rh 3.12, 4 Pr 3.19
Rh: 0.0000 0.0000 0.2180  4 Ce 2.92, 1 Rh 3.12, 4 Pr 3.19
Pr: 0.5000 0.5000 0.5000  8 Rh 3.19, 4 Pr 3.50
Ce: 0.5000 0.5000 0.0000  8 Rh 2.92

=====

No. 2
VASP calculation (PBE-GGA) on crystalline CePrRh2 at its relaxed geometry.

**Calculated volume**: 182.0 Å³ per cell
**Calculated formation energy**: -0.68 eV/atom
**Total moment**: 0.00 μB/f.u.

Cell lengths 4.5028, 5.7359, 7.0485 Å; angles 90.00, 90.00, 90.00 degrees
With the nearest neighbours (Å) after each atom.
Fractional positions:
Rh: 0.5000 0.3223 0.2170  3 Ce 2.72-2.87
Rh: 0.0000 0.6777 0.2830  3 Ce 2.72-2.87
Rh: 0.0000 0.6777 0.7170  3 Ce 2.72-2.87
Rh: 0.5000 0.3223 0.7830  3 Ce 2.72-2.87
Ce: 0.0000 0.3170 0.0000  6 Rh 2.72-2.87
Ce: 0.5000 0.6830 0.5000  6 Rh 2.72-2.87
Pr: 0.0000 0.1691 0.5000  8 Rh 3.13-3.29
Pr: 0.5000 0.8309 0.0000  8 Rh 3.13-3.29

=====

No. 3
VASP calculation (PBE-GGA) on crystalline Ce2PrRh2 at its relaxed geometry.

**Calculated volume**: 247.0 Å³ per cell
**Calculated formation energy**: -0.55 eV/atom
**Total moment**: 0.46 μB/f.u.

Cell lengths 3.8407, 8.2015, 8.5379 Å; angles 100.24, 76.96, 76.45 degrees
With the nearest neighbours (Å) after each atom.
Fractional positions:
Rh: 0.3585 0.6839 0.5990  3 Ce 2.72-2.91, 1 Rh 2.99
Rh: 0.3548 0.3751 0.9155  4 Ce 2.71-2.86, 2 Rh 2.88
Rh: 0.6452 0.6249 0.0845  4 Ce 2.71-2.86, 2 Rh 2.88
Rh: 0.6415 0.3161 0.4010  3 Ce 2.72-2.91, 1 Rh 2.99
Pr: 0.3421 0.9985 0.3177  3 Rh 3.12-3.13
Pr: 0.6579 0.0015 0.6823  3 Rh 3.12-3.13
Ce: 0.0386 0.5927 0.3298  6 Rh 2.86-3.09
Ce: 0.8552 0.2259 0.0635  3 Rh 2.71-2.72
Ce: 0.9614 0.4073 0.6702  6 Rh 2.86-3.09
Ce: 0.1448 0.7741 0.9365  3 Rh 2.71-2.72

=====

No. 4
VASP calculation (PBE-GGA) on crystalline Ce2PrRh at its relaxed geometry.

**Calculated volume**: 871.3 Å³ per cell
**Calculated formation energy**: -0.37 eV/atom
**Total moment**: 0.91 μB/f.u.

Cell lengths 6.2165, 9.8142, 14.2815 Å; angles 90.00, 90.00, 90.00 degrees
With the nearest neighbours (Å) after each atom.
Fractional positions:
Ce: 0.0645 0.4405 0.2134  2 Rh 2.75-2.76
Ce: 0.7460 0.9438 0.5360  2 Rh 2.76-2.78
Ce: 0.7540 0.9438 0.0360  2 Rh 2.76-2.78
Ce: 0.5645 0.5595 0.2866  2 Rh 2.75-2.76
Ce: 0.9355 0.5595 0.7866  2 Rh 2.75-2.76
Ce: 0.9355 0.9405 0.7866  2 Rh 2.75-2.76
Ce: 0.7460 0.5562 0.5360  2 Rh 2.76-2.78
Ce: 0.5645 0.9405 0.2866  2 Rh 2.75-2.76
Ce: 0.7540 0.5562 0.0360  2 Rh 2.76-2.78
Ce: 0.2460 0.4438 0.9640  2 Rh 2.76-2.78
Ce: 0.2540 0.0562 0.4640  2 Rh 2.76-2.78
Ce: 0.4355 0.4405 0.7134  2 Rh 2.75-2.76
Ce: 0.4355 0.0595 0.7134  2 Rh 2.75-2.76
Ce: 0.0645 0.0595 0.2134  2 Rh 2.75-2.76
Ce: 0.2460 0.0562 0.9640  2 Rh 2.76-2.78
Ce: 0.2540 0.4438 0.4640  2 Rh 2.76-2.78
Pr: 0.7641 0.2500 0.3955  3 Rh 3.14-3.30
Pr: 0.2641 0.7500 0.1045  3 Rh 3.14-3.30
Pr: 0.5514 0.2500 0.1421  3 Rh 3.14-3.36
Pr: 0.9486 0.2500 0.6421  3 Rh 3.14-3.36
Pr: 0.2359 0.7500 0.6045  3 Rh 3.14-3.30
Pr: 0.0514 0.7500 0.3579  3 Rh 3.14-3.36
Pr: 0.7359 0.2500 0.8955  3 Rh 3.14-3.30
Pr: 0.4486 0.7500 0.8579  3 Rh 3.14-3.36
Rh: 0.0356 0.2500 0.0724  4 Ce 2.75-2.78
Rh: 0.7695 0.7500 0.1755  4 Ce 2.76
Rh: 0.2695 0.2500 0.3245  4 Ce 2.76
Rh: 0.5356 0.7500 0.4276  4 Ce 2.75-2.78
Rh: 0.2305 0.2500 0.8245  4 Ce 2.76
Rh: 0.4644 0.2500 0.5724  4 Ce 2.75-2.78
Rh: 0.9644 0.7500 0.9276  4 Ce 2.75-2.78
Rh: 0.7305 0.7500 0.6755  4 Ce 2.76

=====

No. 5
VASP calculation (PBE-GGA) on crystalline Ce3Pr2Rh2 at its relaxed geometry.

**Calculated volume**: 188.0 Å³ per cell
**Calculated formation energy**: -0.43 eV/atom
**Total moment**: 0.90 μB/f.u.

Cell lengths 3.8338, 6.2420, 8.8856 Å; angles 69.36, 77.54, 72.12 degrees
With the nearest neighbours (Å) after each atom.
Fractional positions:
Pr: 0.8394 0.5201 0.8011  3 Rh 3.20-3.38
Pr: 0.1606 0.4799 0.1989  3 Rh 3.20-3.38
Ce: 0.6211 0.1981 0.5596  2 Rh 2.77
Ce: 0.5000 0.0000 0.0000  4 Rh 2.76
Ce: 0.3789 0.8019 0.4404  2 Rh 2.77
Rh: 0.1293 0.9602 0.7813  4 Ce 2.76-2.77
Rh: 0.8707 0.0398 0.2187  4 Ce 2.76-2.77

=====

No. 6
VASP calculation (PBE-GGA) on crystalline Ce3Pr4Rh2 at its relaxed geometry.

**Calculated volume**: 261.5 Å³ per cell
**Calculated formation energy**: -0.32 eV/atom
**Total moment**: 0.02 μB/f.u.

Cell lengths 3.7558, 8.9930, 8.9303 Å; angles 116.87, 102.14, 90.00 degrees
With the nearest neighbours (Å) after each atom.
Fractional positions:
Ce: 0.9314 0.8313 0.8628  2 Rh 2.78, 1 Ce 2.87
Ce: 0.0686 0.1687 0.1372  2 Rh 2.78, 1 Ce 2.87
Ce: 0.0000 0.5000 0.0000  4 Rh 2.75
Rh: 0.5858 0.4102 0.1717  4 Ce 2.75-2.78
Rh: 0.4142 0.5898 0.8283  4 Ce 2.75-2.78
Pr: 0.7670 0.3481 0.5341  3 Rh 3.11-3.46
Pr: 0.3722 0.1200 0.7443  1 Rh 3.42, 6 Ce 3.62-3.75, 5 Pr 3.76-3.82
Pr: 0.6278 0.8800 0.2557  1 Rh 3.42, 6 Ce 3.62-3.75, 5 Pr 3.76-3.82
Pr: 0.2330 0.6519 0.4659  3 Rh 3.11-3.46

=====

No. 7
VASP calculation (PBE-GGA) on crystalline CePrRh2 at its relaxed geometry.

**Calculated volume**: 96.1 Å³ per cell
**Calculated formation energy**: -0.55 eV/atom
**Total moment**: 0.00 μB/f.u.

Cell lengths 3.9522, 3.9522, 7.4601 Å; angles 74.64, 74.64, 60.00 degrees
With the nearest neighbours (Å) after each atom.
Fractional positions:
Ce: 0.6688 0.6688 0.9936  6 Rh 2.78-2.82
Pr: 0.4973 0.4973 0.5082  6 Rh 2.95-3.03
Rh: 0.0763 0.0763 0.7711  3 Ce 2.78, 3 Pr 2.95
Rh: 0.2576 0.2576 0.2271  3 Ce 2.82, 3 Pr 3.03

=====

No. 8
VASP calculation (PBE-GGA) on crystalline Ce3PrRh3 at its relaxed geometry.

**Calculated volume**: 419.0 Å³ per cell
**Calculated formation energy**: -0.08 eV/atom
**Total moment**: 2.29 μB/f.u.

Cell lengths 7.4830, 7.4830, 7.4830 Å; angles 90.00, 90.00, 90.00 degrees
With the nearest neighbours (Å) after each atom.
Fractional positions:
Rh: 0.0000 0.7500 0.5000  4 Ce 2.65
Rh: 0.7500 0.5000 0.0000  4 Ce 2.65
Rh: 0.0000 0.2500 0.5000  4 Ce 2.65
Rh: 0.5000 0.0000 0.2500  4 Ce 2.65
Rh: 0.5000 0.0000 0.7500  4 Ce 2.65
Rh: 0.2500 0.5000 0.0000  4 Ce 2.65
Ce: 0.7500 0.0000 0.5000  4 Rh 2.65
Ce: 0.5000 0.7500 0.0000  4 Rh 2.65
Ce: 0.2500 0.0000 0.5000  4 Rh 2.65
Ce: 0.0000 0.5000 0.2500  4 Rh 2.65
Ce: 0.0000 0.5000 0.7500  4 Rh 2.65
Ce: 0.5000 0.2500 0.0000  4 Rh 2.65
Pr: 0.0000 0.0000 0.0000  12 Ce 4.18, 12 Rh 4.18
Pr: 0.5000 0.5000 0.5000  12 Ce 4.18, 12 Rh 4.18

=====

No. 9
VASP calculation (PBE-GGA) on crystalline CePrRh4 at its relaxed geometry.

**Calculated volume**: 111.2 Å³ per cell
**Calculated formation energy**: -0.66 eV/atom
**Total moment**: 0.10 μB/f.u.

Cell lengths 5.3975, 5.3975, 5.3975 Å; angles 60.00, 60.00, 60.00 degrees
With the nearest neighbours (Å) after each atom.
Fractional positions:
Pr: 0.2500 0.2500 0.2500  12 Rh 3.16, 4 Ce 3.31
Rh: 0.6251 0.1246 0.6251  6 Rh 2.70
Rh: 0.1247 0.6251 0.6251  6 Rh 2.70
Rh: 0.6251 0.6251 0.6251  6 Rh 2.70
Rh: 0.6251 0.6251 0.1246  6 Rh 2.70
Ce: 0.0000 0.0000 0.0000  12 Rh 3.16, 4 Pr 3.31

=====

No. 10
VASP calculation (PBE-GGA) on crystalline Ce2PrRh at its relaxed geometry.

**Calculated volume**: 215.5 Å³ per cell
**Calculated formation energy**: -0.37 eV/atom
**Total moment**: 0.68 μB/f.u.

Cell lengths 3.7389, 6.1702, 9.7997 Å; angles 90.00, 90.00, 107.60 degrees
With the nearest neighbours (Å) after each atom.
Fractional positions:
Ce: 0.8607 0.7207 0.5563  2 Rh 2.76
Ce: 0.1393 0.2793 0.0563  2 Rh 2.76
Ce: 0.8607 0.7207 0.9437  2 Rh 2.76
Ce: 0.1393 0.2793 0.4437  2 Rh 2.76
Rh: 0.2986 0.5963 0.7500  4 Ce 2.76
Rh: 0.7014 0.4037 0.2500  4 Ce 2.76
Pr: 0.4201 0.8408 0.2500  3 Rh 3.18-3.31
Pr: 0.5799 0.1592 0.7500  3 Rh 3.18-3.31

=====

No. 11
VASP calculation (PBE-GGA) on crystalline CePrRuRh at its relaxed geometry.

**Calculated volume**: 86.7 Å³ per cell
**Calculated formation energy**: -0.38 eV/atom
**Total moment**: 0.10 μB/f.u.

Cell lengths 4.9674, 4.9674, 4.9674 Å; angles 60.00, 60.00, 60.00 degrees
With the nearest neighbours (Å) after each atom.
Fractional positions:
Rh: 0.5000 0.5000 0.5000  4 Pr 3.04, 4 Ce 3.04
Pr: 0.7500 0.7500 0.7500  4 Ru 3.04, 4 Rh 3.04
Ru: 0.0000 0.0000 0.0000  4 Ce 3.04, 4 Pr 3.04
Ce: 0.2500 0.2500 0.2500  4 Rh 3.04, 4 Ru 3.04

=====

No. 12
VASP calculation (PBE-GGA) on crystalline CePr2Sb3Rh4 at its relaxed geometry.

**Calculated volume**: 226.5 Å³ per cell
**Formation energy (no corrections)**: -0.851 eV per atom
**Total moment**: 0.54 μB/f.u.

Cell lengths 4.4676, 4.4676, 11.3476 Å; angles 90.00, 90.00, 90.00 degrees
With the nearest neighbours (Å) after each atom.
Fractional positions:
Ce: 0.5000 0.5000 0.5000  4 Rh 2.74
Pr: 0.0000 0.5000 0.7818  4 Sb 3.31, 8 Rh 3.34-3.54
Pr: 0.5000 0.0000 0.2182  4 Sb 3.31, 8 Rh 3.34-3.54
Rh: 0.5000 0.5000 0.0000  4 Sb 2.68
Rh: 0.0000 0.5000 0.3597  3 Sb 2.60-2.74, 2 Ce 2.74
Rh: 0.0000 0.0000 0.0000  4 Sb 2.68
Rh: 0.5000 0.0000 0.6403  3 Sb 2.60-2.74, 2 Ce 2.74
Sb: 0.0000 0.5000 0.1306  5 Rh 2.60-2.68
Sb: 0.0000 0.0000 0.5000  4 Rh 2.74
Sb: 0.5000 0.0000 0.8694  5 Rh 2.60-2.68